1.
! PBE-GGA Zn2ReNi, optimized geometry; values from VASP
&SYSTEM
  ibrav = 0, nat = 4, ntyp = 3
/
ATOMIC_SPECIES
Zn 65.41 Zn.upf
Re 186.21 Re.upf
Ni 58.69 Ni.upf
CELL_PARAMETERS angstrom
0.000 3.000 3.000
3.000 0.000 3.000
3.000 3.000 0.000
ATOMIC_POSITIONS angstrom
Zn 1.500 1.500 1.500
Zn 4.499 4.499 4.499
Re 0.000 0.000 0.000
Ni 3.000 3.000 3.000
! **Calculated volume**: 54.0 Å³/cell
! **Excess energy over the best structure of this formula in the dataset**: 332 meV per atom
! **Formation enthalpy at 0 K**: 1.398 eV/f.u.

=====

2.
! PBE-GGA ZnReNi2, optimized geometry; values from VASP
&SYSTEM
  ibrav = 0, nat = 4, ntyp = 3
/
ATOMIC_SPECIES
Zn 65.41 Zn.upf
Re 186.21 Re.upf
Ni 58.69 Ni.upf
CELL_PARAMETERS angstrom
2.657 -3.661 0.000
2.657 3.661 0.000
0.000 0.000 2.594
ATOMIC_POSITIONS angstrom
Zn 0.000 0.000 0.000
Re 2.657 0.000 0.000
Ni 1.328 1.830 1.297
Ni 1.328 -1.830 1.297
! **Calculated volume**: 50.5 Å³/cell
! **Formation enthalpy at 0 K**: 0.118 eV/f.u.

=====

3.
! PBE-GGA Zn2ReNi, optimized geometry; values from VASP
&SYSTEM
  ibrav = 0, nat = 4, ntyp = 3
/
ATOMIC_SPECIES
Zn 65.41 Zn.upf
Re 186.21 Re.upf
Ni 58.69 Ni.upf
CELL_PARAMETERS angstrom
2.749 0.000 0.000
0.000 4.411 0.000
0.000 0.000 4.469
ATOMIC_POSITIONS angstrom
Zn 0.000 0.000 0.000
Zn 1.375 0.000 2.235
Re 0.000 2.205 2.235
Ni 1.375 2.205 0.000
! **Calculated volume**: 54.2 Å³/cell
! **Excess energy over the best structure of this formula in the dataset**: 180 meV per atom
! **Formation enthalpy at 0 K**: 0.789 eV/f.u.

=====

4.
! PBE-GGA ZnReNi2, optimized geometry; values from VASP
&SYSTEM
  ibrav = 0, nat = 4, ntyp = 3
/
ATOMIC_SPECIES
Zn 65.41 Zn.upf
Re 186.21 Re.upf
Ni 58.69 Ni.upf
CELL_PARAMETERS angstrom
0.000 2.929 2.929
2.929 0.000 2.929
2.929 2.929 0.000
ATOMIC_POSITIONS angstrom
Zn 0.000 0.000 0.000
Re 1.464 1.464 1.464
Ni 2.929 2.929 2.929
Ni 4.393 4.393 4.393
! **Calculated volume**: 50.2 Å³/cell
! **Formation enthalpy at 0 K**: 0.960 eV/f.u.

=====

5.
! PBE-GGA Zn2ReNi, optimized geometry; values from VASP
&SYSTEM
  ibrav = 0, nat = 4, ntyp = 3
/
ATOMIC_SPECIES
Zn 65.41 Zn.upf
Re 186.21 Re.upf
Ni 58.69 Ni.upf
CELL_PARAMETERS angstrom
4.687 0.000 0.000
0.000 2.601 0.000
-1.817 0.000 4.434
ATOMIC_POSITIONS angstrom
Zn 0.000 0.000 0.000
Zn -0.909 1.300 2.217
Re 1.435 0.000 2.217
Ni 2.343 1.300 0.000
! **Calculated volume**: 54.1 Å³/cell
! **Excess energy over the best structure of this formula in the dataset**: 76 meV per atom
! **Formation enthalpy at 0 K**: 0.374 eV/f.u.

=====

6.
! PBE-GGA ZnReNi3, optimized geometry; values from VASP
&SYSTEM
  ibrav = 0, nat = 5, ntyp = 3
/
ATOMIC_SPECIES
Zn 65.41 Zn.upf
Re 186.21 Re.upf
Ni 58.69 Ni.upf
CELL_PARAMETERS angstrom
4.507 0.000 0.000
0.000 4.507 0.000
0.000 0.000 4.507
ATOMIC_POSITIONS angstrom
Zn 0.000 0.000 0.000
Re 2.254 2.254 2.254
Ni 0.000 2.254 2.254
Ni 2.254 0.000 2.254
Ni 2.254 2.254 0.000
! **Calculated volume**: 91.6 Å³/cell
! **Excess energy over the best structure of this formula in the dataset**: 0 meV per atom
! **Formation enthalpy at 0 K**: 6.720 eV/f.u.

=====

7.
! PBE-GGA Zn3ReNi12, optimized geometry; values from VASP
&SYSTEM
  ibrav = 0, nat = 16, ntyp = 3
/
ATOMIC_SPECIES
Zn 65.41 Zn.upf
Re 186.21 Re.upf
Ni 58.69 Ni.upf
CELL_PARAMETERS angstrom
3.584 0.000 0.000
0.000 3.584 0.000
0.000 0.000 14.368
ATOMIC_POSITIONS angstrom
Zn 0.000 0.000 0.000
Zn 0.000 0.000 3.553
Zn 0.000 0.000 10.816
Re 0.000 0.000 7.184
Ni 0.000 1.792 1.788
Ni 0.000 1.792 5.411
Ni 0.000 1.792 8.957
Ni 0.000 1.792 12.580
Ni 1.792 0.000 1.788
Ni 1.792 0.000 5.411
Ni 1.792 0.000 8.957
Ni 1.792 0.000 12.580
Ni 1.792 1.792 0.000
Ni 1.792 1.792 3.588
Ni 1.792 1.792 7.184
Ni 1.792 1.792 10.781
! **Calculated volume**: 184.5 Å³/cell
! **Formation enthalpy at 0 K**: -1.515 eV/f.u.

=====

8.
! PBE-GGA ZnReNi2, optimized geometry; values from VASP
&SYSTEM
  ibrav = 0, nat = 4, ntyp = 3
/
ATOMIC_SPECIES
Zn 65.41 Zn.upf
Re 186.21 Re.upf
Ni 58.69 Ni.upf
CELL_PARAMETERS angstrom
-1.397 2.173 4.165
1.397 -2.173 4.165
1.397 2.173 -4.165
ATOMIC_POSITIONS angstrom
Zn 0.000 0.000 0.000
Re 0.000 0.000 4.165
Ni 1.397 0.000 2.037
Ni 0.000 2.173 2.128
! **Calculated volume**: 50.6 Å³/cell
! **Formation enthalpy at 0 K**: 0.798 eV/f.u.

=====

9.
! PBE-GGA ZnReNi2, optimized geometry; values from VASP
&SYSTEM
  ibrav = 0, nat = 4, ntyp = 3
/
ATOMIC_SPECIES
Zn 65.41 Zn.upf
Re 186.21 Re.upf
Ni 58.69 Ni.upf
CELL_PARAMETERS angstrom
2.588 0.000 0.000
0.000 3.731 0.000
0.000 0.000 5.256
ATOMIC_POSITIONS angstrom
Zn 0.000 0.000 0.000
Re 1.294 1.865 3.675
Ni 0.000 0.000 2.549
Ni 1.294 1.865 1.149
! **Calculated volume**: 50.8 Å³/cell
! **Formation enthalpy at 0 K**: 0.279 eV/f.u.

=====

10.
! PBE-GGA Zn2ReNi, optimized geometry; values from VASP
&SYSTEM
  ibrav = 0, nat = 4, ntyp = 3
/
ATOMIC_SPECIES
Zn 65.41 Zn.upf
Re 186.21 Re.upf
Ni 58.69 Ni.upf
CELL_PARAMETERS angstrom
1.358 0.784 8.702
-1.358 0.784 8.702
0.000 -1.569 8.702
ATOMIC_POSITIONS angstrom
Zn 0.000 0.000 0.000
Zn 0.000 0.000 6.311
Re 0.000 0.000 12.733
Ni 0.000 0.000 19.427
! **Calculated volume**: 55.6 Å³/cell
! **Excess energy over the best structure of this formula in the dataset**: 45 meV per atom
! **Formation enthalpy at 0 K**: 0.250 eV/f.u.

=====

11.
! PBE-GGA ZnReNi4, optimized geometry; values from VASP
&SYSTEM
  ibrav = 0, nat = 6, ntyp = 3
/
ATOMIC_SPECIES
Zn 65.41 Zn.upf
Re 186.21 Re.upf
Ni 58.69 Ni.upf
CELL_PARAMETERS angstrom
2.609 0.000 0.000
0.000 2.609 0.000
0.000 0.000 10.541
ATOMIC_POSITIONS angstrom
Zn 0.000 0.000 0.000
Re 1.304 1.304 5.270
Ni 0.000 0.000 3.436
Ni 0.000 0.000 7.105
Ni 1.304 1.304 1.749
Ni 1.304 1.304 8.792
! **Calculated volume**: 71.7 Å³/cell
! **Excess energy over the best structure of this formula in the dataset**: 0 meV per atom
! **Formation enthalpy at 0 K**: -0.419 eV/f.u.

=====

12.
! PBE-GGA Zn2ReNi, optimized geometry; values from VASP
&SYSTEM
  ibrav = 0, nat = 4, ntyp = 3
/
ATOMIC_SPECIES
Zn 65.41 Zn.upf
Re 186.21 Re.upf
Ni 58.69 Ni.upf
CELL_PARAMETERS angstrom
1.625 -2.051 0.000
1.625 2.051 0.000
0.000 0.000 8.097
ATOMIC_POSITIONS angstrom
Zn 0.000 0.000 1.851
Zn 0.000 0.000 6.246
Re 1.625 0.000 4.049
Ni 1.625 0.000 0.000
! **Calculated volume**: 54.0 Å³/cell
! **Excess energy over the best structure of this formula in the dataset**: 63 meV per atom
! **Formation enthalpy at 0 K**: 0.323 eV/f.u.

=====

13.
! PBE-GGA ZrRe2Ni, optimized geometry; values from VASP
&SYSTEM
  ibrav = 0, nat = 4, ntyp = 3
/
ATOMIC_SPECIES
Zr 91.22 Zr.upf
Re 186.21 Re.upf
Ni 58.69 Ni.upf
CELL_PARAMETERS angstrom
2.697 -4.149 0.000
2.697 4.149 0.000
0.000 0.000 2.812
ATOMIC_POSITIONS angstrom
Zr 0.000 0.000 0.000
Re 1.348 2.075 1.406
Re 1.348 -2.075 1.406
Ni 2.697 0.000 0.000
! **Calculated volume**: 62.9 Å³/cell
! **Excess energy over the best structure of this formula in the dataset**: 304 meV per atom
! **Formation enthalpy at 0 K**: 1.012 eV/f.u.

=====

14.
! PBE-GGA ZrRe2Ni, optimized geometry; values from VASP
&SYSTEM
  ibrav = 0, nat = 4, ntyp = 3
/
ATOMIC_SPECIES
Zr 91.22 Zr.upf
Re 186.21 Re.upf
Ni 58.69 Ni.upf
CELL_PARAMETERS angstrom
2.868 0.000 0.000
0.000 4.691 0.000
-0.372 0.000 4.709
ATOMIC_POSITIONS angstrom
Zr 0.000 0.000 0.000
Re 0.607 2.345 3.513
Re 1.889 2.345 1.196
Ni 1.248 0.000 2.354
! **Calculated volume**: 63.3 Å³/cell
! **Excess energy over the best structure of this formula in the dataset**: 152 meV per atom
! **Formation enthalpy at 0 K**: 0.404 eV/f.u.